Record 1
Below is a relaxed HfHg2Pb2 crystal, with properties calculated at the GGA-PBE level.

abc: 8.184 8.184 3.946
angles: 90.00 90.00 90.00
Space group P4/mbm (No. 127)
Inequivalent atoms, fractional coordinates:
Hf 0.000 0.000 0.000 [2 per cell]
Hg 0.151 0.349 0.500 [4 per cell]
Pb 0.153 0.653 0.000 [4 per cell]

## Properties
The total energy comes out at -32.2 eV for the cell shown.

---

Record 2
Below is a relaxed MnZn3Os crystal, with properties calculated at the GGA-PBE level.

abc: 4.758 4.758 4.758
angles: 90.00 90.00 90.00
Space group Pm-3m (No. 221)
Inequivalent atoms, fractional coordinates:
Mn 0.000 0.000 0.000 [1 per cell]
Zn 0.000 0.500 0.500 [3 per cell]
Os 0.500 0.500 0.500 [1 per cell]

## Properties
The excess energy over the best structure of this formula in the dataset is 0.000 eV per atom. The total energy comes out at -19.8 eV for the cell shown.

---

Record 3
Below is a relaxed HgRh2Pb crystal, with properties calculated at the GGA-PBE level.

abc: 3.131 4.375 11.508
angles: 90.00 90.00 90.00
Space group Imm2 (No. 44)
Inequivalent atoms, fractional coordinates:
Hg 0.000 0.000 0.000 [2 per cell]
Rh 0.000 0.000 0.540 [2 per cell]
Rh 0.000 0.500 0.830 [2 per cell]
Pb 0.000 0.500 0.240 [2 per cell]

## Properties
The total energy comes out at -35.9 eV for the cell shown.

---

Record 4
Below is a relaxed RbTl2BF6 crystal, with properties calculated at the GGA-PBE level.

abc: 5.8183 5.8183 17.5444
angles: 90.00 90.00 120.00
Space group R-3m (No. 166, hexagonal axes)
Inequivalent atoms, fractional coordinates:
Rb 0.0000 0.0000 0.0000 [3 per cell]
Tl 0.0000 0.0000 0.2260 [6 per cell]
B 0.0000 0.0000 0.5000 [3 per cell]
F 0.0642 0.5321 0.2208 [18 per cell]

## Properties
The value obtained for the energy relative to the elements, uncorrected is -2.1543 eV per atom. The total energy comes out at -135.4 eV for the cell shown.

---

Record 5
Below is a relaxed Tb9NdTm2 crystal, with properties calculated at the GGA-PBE level.

abc: 5.031 5.031 15.099
angles: 90.00 90.00 90.00
Space group P4/mmm (No. 123)
Inequivalent atoms, fractional coordinates:
Tb 0.000 0.000 0.000 [1 per cell]
Tb 0.000 0.000 0.336 [2 per cell]
Tb 0.000 0.500 0.170 [4 per cell]
Tb 0.000 0.500 0.500 [2 per cell]
Nd 0.500 0.500 0.000 [1 per cell]
Tm 0.500 0.500 0.335 [2 per cell]

## Properties
The excess energy over the best structure of this formula in the dataset is 0.000 eV per atom. The total energy comes out at -55.1 eV for the cell shown.

---

Record 6
Below is a relaxed TaP2Rh crystal, with properties calculated at the GGA-PBE level.

abc: 3.375 3.375 5.209
angles: 90.00 90.00 90.00
Space group P4mm (No. 99)
Inequivalent atoms, fractional coordinates:
Ta 0.000 0.000 0.000 [1 per cell]
P 0.000 0.000 0.510 [1 per cell]
P 0.500 0.500 0.164 [1 per cell]
Rh 0.500 0.500 0.640 [1 per cell]

## Properties
The excess energy over the best structure of this formula in the dataset is 0.000 eV per atom. The total energy comes out at -32.2 eV for the cell shown.

---

Record 7
Below is a relaxed LaP2SN crystal, with properties calculated at the GGA-PBE level.

abc: 4.133 4.133 4.920
angles: 90.00 90.00 90.00
Space group P4/mmm (No. 123)
Inequivalent atoms, fractional coordinates:
La 0.000 0.000 0.000 [1 per cell]
P 0.000 0.500 0.500 [2 per cell]
S 0.500 0.500 0.000 [1 per cell]
N 0.500 0.500 0.500 [1 per cell]

## Properties
The value obtained for the energy relative to the elements, uncorrected is -0.0022 eV per atom. The excess energy over the best structure of this formula in the dataset is 0.000 eV per atom. The total energy comes out at -28.2 eV for the cell shown.

---

Record 8
Below is a relaxed Nd4Cd2Pb crystal, with properties calculated at the GGA-PBE level.

abc: 5.4035 5.4035 26.2107
angles: 90.00 90.00 120.00
Space group R-3m (No. 166, hexagonal axes)
Inequivalent atoms, fractional coordinates:
Nd 0.0000 0.0000 0.1168 [6 per cell]
Nd 0.0000 0.0000 0.3695 [6 per cell]
Cd 0.0000 0.0000 0.2482 [6 per cell]
Pb 0.0000 0.0000 0.5000 [3 per cell]

## Properties
The total energy comes out at -78.3 eV for the cell shown.

---

Record 9
Below is a relaxed InFe2Ni2 crystal, with properties calculated at the GGA-PBE level.

abc: 3.602 3.602 10.890
angles: 90.00 90.00 90.00
Space group I4/mmm (No. 139)
Inequivalent atoms, fractional coordinates:
In 0.000 0.000 0.000 [2 per cell]
Fe 0.000 0.000 0.393 [4 per cell]
Ni 0.000 0.500 0.250 [4 per cell]

## Properties
The total energy comes out at -59.6 eV for the cell shown.

---

Record 10
Below is a relaxed Ce2TlI8 crystal, with properties calculated at the GGA-PBE level.

abc: 9.822 14.376 6.326
angles: 90.00 101.39 90.00
Space group C2/m (No. 12)
Inequivalent atoms, fractional coordinates:
Ce 0.000 0.182 0.000 [4 per cell]
Tl 0.000 0.500 0.500 [2 per cell]
I 0.000 0.249 0.500 [4 per cell]
I 0.103 0.000 0.287 [4 per cell]
I 0.194 0.366 0.082 [8 per cell]

## Properties
The value obtained for the energy relative to the elements, uncorrected is -1.0734 eV per atom. The excess energy over the best structure of this formula in the dataset is 0.000 eV per atom. The total energy comes out at -76.9 eV for the cell shown.

---

Record 11
Below is a relaxed ThAgPdRh crystal, with properties calculated at the GGA-PBE level.

abc: 6.806 6.806 6.806
angles: 90.00 90.00 90.00
Space group F-43m (No. 216)
Inequivalent atoms, fractional coordinates:
Th 0.000 0.000 0.000 [4 per cell]
Ag 0.000 0.000 0.500 [4 per cell]
Pd 0.250 0.250 0.750 [4 per cell]
Rh 0.250 0.250 0.250 [4 per cell]

## Properties
The excess energy over the best structure of this formula in the dataset is 0.132 eV per atom. The total energy comes out at -99.6 eV for the cell shown.

---

Record 12
Below is a relaxed CaH7Pt4 crystal, with properties calculated at the GGA-PBE level.

abc: 9.378 6.092 4.504
angles: 90.00 90.00 90.00
Space group Pmn2_1 (No. 31)
Inequivalent atoms, fractional coordinates:
Ca 0.000 0.246 0.000 [2 per cell]
H 0.000 0.885 0.278 [2 per cell]
H 0.114 0.798 0.784 [4 per cell]
H 0.128 0.168 0.537 [4 per cell]
H 0.158 0.613 0.335 [4 per cell]
Pt 0.167 0.905 0.451 [4 per cell]
Pt 0.238 0.626 0.963 [4 per cell]

## Properties
The total energy comes out at -103.5 eV for the cell shown.